TbCeFeOs: relaxed, PBE-GGA.

Output
For the volume, the calculation gives 20.2 Å³ per atom. The formation energy is -0.3 kJ/mol of atoms.

a = 6.8601 Å, b = 6.8601 Å, c = 6.8601 Å
α = 90.00°, β = 90.00°, γ = 90.00°
Space group F-43m (No. 216)
Symmetry-distinct sites (fractional):
Tb: 0.0000 0.0000 0.0000 x4
Ce: 0.0000 0.0000 0.5000 x4
Fe: 0.2500 0.2500 0.2500 x4
Os: 0.2500 0.2500 0.7500 x4



CeTmFeOs: relaxed, PBE-GGA.

Output
For the volume, the calculation gives 19.6 Å³ per atom. The formation energy is -6.5 kJ/mol of atoms.

a = 6.7941 Å, b = 6.7941 Å, c = 6.7941 Å
α = 90.00°, β = 90.00°, γ = 90.00°
Space group F-43m (No. 216)
Symmetry-distinct sites (fractional):
Ce: 0.0000 0.0000 0.0000 x4
Tm: 0.0000 0.0000 0.5000 x4
Fe: 0.2500 0.2500 0.7500 x4
Os: 0.2500 0.2500 0.2500 x4



CeYFeOs: relaxed, PBE-GGA.

Output
For the volume, the calculation gives 20.1 Å³ per atom. The formation energy is -0.6 kJ/mol of atoms.

a = 6.8557 Å, b = 6.8557 Å, c = 6.8557 Å
α = 90.00°, β = 90.00°, γ = 90.00°
Space group F-43m (No. 216)
Symmetry-distinct sites (fractional):
Ce: 0.0000 0.0000 0.0000 x4
Y: 0.0000 0.0000 0.5000 x4
Fe: 0.2500 0.2500 0.7500 x4
Os: 0.2500 0.2500 0.2500 x4



CeFe12P6: relaxed, PBE-GGA.

Output
For the volume, the calculation gives 12.3 Å³ per atom. The formation energy is -49.2 kJ/mol of atoms.

a = 10.2140 Å, b = 10.2140 Å, c = 7.7582 Å
α = 90.00°, β = 90.00°, γ = 120.00°
Space group R-3m (No. 166, hexagonal axes)
Symmetry-distinct sites (fractional):
Ce: 0.0000 0.0000 0.0000 x3
Fe: 0.0000 0.3649 0.5000 x18
Fe: 0.0892 0.1785 0.3603 x18
P: 0.0391 0.5196 0.2862 x18



CeFe2P2: relaxed, PBE-GGA.

Output
For the volume, the calculation gives 14.7 Å³ per atom. The formation energy is -96.1 kJ/mol of atoms.

a = 3.8095 Å, b = 3.8095 Å, c = 10.1589 Å
α = 90.00°, β = 90.00°, γ = 90.00°
Space group I4/mmm (No. 139)
Symmetry-distinct sites (fractional):
Ce: 0.0000 0.0000 0.0000 x2
Fe: 0.0000 0.5000 0.2500 x4
P: 0.0000 0.0000 0.3585 x4



CeFe4P12: relaxed, PBE-GGA.

Output
For the volume, the calculation gives 13.9 Å³ per atom. The formation energy is -62.7 kJ/mol of atoms.

a = 7.7803 Å, b = 7.7803 Å, c = 7.7803 Å
α = 90.00°, β = 90.00°, γ = 90.00°
Space group Im-3 (No. 204)
Symmetry-distinct sites (fractional):
Ce: 0.0000 0.0000 0.0000 x2
Fe: 0.2500 0.2500 0.2500 x8
P: 0.0000 0.3510 0.1516 x24



Ce3Fe2P4: relaxed, PBE-GGA.

Output
For the volume, the calculation gives 18.3 Å³ per atom. The formation energy is -104.7 kJ/mol of atoms.

a = 11.3984 Å, b = 3.9741 Å, c = 8.1443 Å
α = 90.00°, β = 116.91°, γ = 90.00°
Space group C2/m (No. 12)
Symmetry-distinct sites (fractional):
Ce: 0.0000 0.0000 0.0000 x2
Ce: 0.1241 0.5000 0.7129 x4
Fe: 0.1877 0.5000 0.3774 x4
P: 0.1054 0.0000 0.3975 x4
P: 0.1913 0.5000 0.1077 x4



CeFeP2: relaxed, PBE-GGA.

Output
For the volume, the calculation gives 17.7 Å³ per atom. The formation energy is 17.5 kJ/mol of atoms.

a = 2.9679 Å, b = 2.9679 Å, c = 27.8607 Å
α = 90.00°, β = 90.00°, γ = 120.00°
Space group R-3m (No. 166, hexagonal axes)
Symmetry-distinct sites (fractional):
Ce: 0.0000 0.0000 0.0000 x3
Fe: 0.0000 0.0000 0.5000 x3
P: 0.0000 0.0000 0.4200 x6



CeFe3P3: relaxed, PBE-GGA.

Output
For the volume, the calculation gives 16.3 Å³ per atom. The formation energy is -45.1 kJ/mol of atoms.

a = 6.1166 Å, b = 6.1166 Å, c = 6.1166 Å
α = 90.00°, β = 90.00°, γ = 90.00°
Space group Pm-3n (No. 223)
Symmetry-distinct sites (fractional):
Ce: 0.0000 0.0000 0.0000 x2
Fe: 0.0000 0.2500 0.5000 x6
P: 0.0000 0.5000 0.2500 x6



Ce2FeP: relaxed, PBE-GGA.

Output
For the volume, the calculation gives 20.6 Å³ per atom. The formation energy is -39.6 kJ/mol of atoms.

a = 5.1948 Å, b = 5.1948 Å, c = 10.5725 Å
α = 90.00°, β = 90.00°, γ = 120.00°
Space group R-3m (No. 166, hexagonal axes)
Symmetry-distinct sites (fractional):
Ce: 0.0000 0.0000 0.2345 x6
Fe: 0.0000 0.0000 0.0000 x3
P: 0.0000 0.0000 0.5000 x3



Ce2Fe12P7: relaxed, PBE-GGA.

Output
For the volume, the calculation gives 12.2 Å³ per atom. The formation energy is -69.2 kJ/mol of atoms.

a = 8.9902 Å, b = 8.9902 Å, c = 3.6536 Å
α = 90.00°, β = 90.00°, γ = 120.00°
Space group P-6 (No. 174)
Symmetry-distinct sites (fractional):
Ce: 0.0000 0.0000 0.0000 x1
Ce: 0.3333 0.6667 0.5000 x1
Fe: 0.0484 0.7682 0.5000 x3
Fe: 0.0955 0.3947 0.0000 x3
Fe: 0.3940 0.2118 0.0000 x3
Fe: 0.5498 0.1169 0.5000 x3
P: 0.0729 0.6341 0.0000 x3
P: 0.2702 0.0423 0.5000 x3
P: 0.6667 0.3333 0.0000 x1



CeFe2Si2P: relaxed, PBE-GGA.

Output
For the volume, the calculation gives 15.7 Å³ per atom. Its formation energy without anion corrections is -2.693 eV per formula unit.

a = 4.2040 Å, b = 4.2040 Å, c = 5.3384 Å
α = 90.00°, β = 90.00°, γ = 90.00°
Space group P4/mmm (No. 123)
Symmetry-distinct sites (fractional):
Ce: 0.0000 0.0000 0.0000 x1
Fe: 0.0000 0.5000 0.5000 x2
Si: 0.5000 0.5000 0.2318 x2
P: 0.0000 0.0000 0.5000 x1



Which formula does entry 5 have? CeFe2P2